Entry 1:
First-principles (GGA-PBE) data for a geometry-optimized CeZn8GaAu2 structure, as listed in the Alexandria database.

The structure belongs to space group C2/m (No. 12); the cell edges are 8.115, 5.173 and 10.265 Å and the angles 90.00°, 95.68° and 90.00°. The inequivalent atoms are Ce at (0.000, 0.000, 0.000), Zn at (0.095, 0.249, 0.304), Zn at (0.160, 0.500, 0.542), Zn at (0.173, 0.500, 0.105), Ga at (0.000, 0.000, 0.500) and Au at (0.164, 0.500, 0.834).

The value obtained for the electronic total energy is -54.9 eV for the cell shown. The calculation puts the formation energy at -147 meV/atom. As for the total magnetization: 0.064 μB per atom.


Entry 2:
First-principles (GGA-PBE) data for a geometry-optimized Ce3ZnGa2Au6 structure, as listed in the Alexandria database.

The structure belongs to space group P-3m1 (No. 164); the cell edges are 6.1504, 6.1504 and 8.4112 Å and the angles 90.00°, 90.00° and 120.00°. The inequivalent atoms are Ce at (0.0000, 0.0000, 0.0000), Ce at (0.3333, 0.6667, 0.6318), Zn at (0.0000, 0.0000, 0.5000), Ga at (0.3333, 0.6667, 0.0153) and Au at (0.1775, 0.3551, 0.2802).

The value obtained for the electronic total energy is -49.6 eV for the cell shown. The calculation puts the formation energy at -404 meV/atom. As for the total magnetization: 0.248 μB per atom.


Entry 3:
First-principles (GGA-PBE) data for a geometry-optimized CeZnGa2Au2 structure, as listed in the Alexandria database.

The structure belongs to space group P-3m1 (No. 164); the cell edges are 4.4492, 4.4492 and 6.9030 Å and the angles 90.00°, 90.00° and 120.00°. The inequivalent atoms are Ce at (0.0000, 0.0000, 0.0000), Zn at (0.0000, 0.0000, 0.5000), Ga at (0.3333, 0.6667, 0.2607) and Au at (0.3333, 0.6667, 0.6864).

The value obtained for the electronic total energy is -22.6 eV for the cell shown. The calculation puts the formation energy at -461 meV/atom. As for the total magnetization: 0.127 μB per atom.


Entry 4:
First-principles (GGA-PBE) data for a geometry-optimized Ce2Zn4GaAu3 structure, as listed in the Alexandria database.

The structure belongs to space group P-4m2 (No. 115); the cell edges are 4.225, 4.225 and 11.369 Å and the angles 90.00°, 90.00° and 90.00°. The inequivalent atoms are Ce at (0.000, 0.500, 0.246), Zn at (0.000, 0.000, 0.500), Zn at (0.000, 0.500, 0.866), Zn at (0.500, 0.500, 0.500), Ga at (0.500, 0.500, 0.000), Au at (0.000, 0.000, 0.000) and Au at (0.000, 0.500, 0.642).

The value obtained for the electronic total energy is -34.3 eV for the cell shown. The calculation puts the formation energy at -449 meV/atom. As for the total magnetization: 0.187 μB per atom.


Number 1: calculated volume 17.867 A^3/atom. Number 2: calculated volume 22.962 A^3/atom. Number 3: calculated volume 19.723 A^3/atom. Number 4: calculated volume 20.295 A^3/atom.